This record from Alexandria via LeMat-Bulk describes an optimized crystal structure of Ti11Zn9Cu4. The functional is GGA-PBE.

Structure (POSCAR):
```
Ti11Zn9Cu4
1.0
-1.322 -2.690 0.337
4.026 -3.263 -10.266
7.196 -2.455 8.628
Zn Cu Ti
9 4 11
Direct
0.500 0.158 0.632
0.500 0.500 0.500
0.500 0.065 0.213
0.500 0.632 0.158
0.500 0.935 0.787
0.500 0.213 0.065
0.500 0.368 0.842
0.500 0.787 0.935
0.500 0.842 0.368
0.500 0.751 0.552
0.500 0.552 0.751
0.500 0.448 0.249
0.500 0.249 0.448
0.000 0.287 0.287
0.000 0.000 0.000
0.000 0.713 0.713
0.000 0.942 0.590
0.000 0.058 0.410
0.000 0.161 0.839
0.000 0.410 0.058
0.000 0.839 0.161
0.000 0.362 0.638
0.000 0.590 0.942
0.000 0.638 0.362
```

Properties
density of states at the Fermi level	0.786	states/eV per atom
formation energy from the elements	-0.133	eV per atom
space group	Cmmm